The following is a GGA-PBE calculation of crystalline TiZn2Pb at its relaxed geometry, from the Alexandria database.

Unit cell a=7.6134 b=7.6134 c=6.0707 alpha=51.17 beta=51.17 gamma=90.00
Closest atoms and distances in Å follow each position.
Fractional coordinates of all 8 atoms:
Pb: 0.0000 0.0000 0.0000  2 Ti 2.81, 4 Zn 2.85
Pb: 0.7500 0.2500 0.5000  2 Ti 2.81, 4 Zn 2.85
Ti: 0.5000 0.5000 0.0000  4 Zn 2.71, 2 Pb 2.81
Ti: 0.2500 0.7500 0.5000  4 Zn 2.71, 2 Pb 2.81
Zn: 0.6116 0.1250 0.2500  2 Ti 2.71, 2 Zn 2.81, 2 Pb 2.85
Zn: 0.8750 0.8616 0.7500  2 Ti 2.71, 2 Zn 2.81, 2 Pb 2.85
Zn: 0.3750 0.3884 0.7500  2 Ti 2.71, 2 Zn 2.81, 2 Pb 2.85
Zn: 0.1384 0.6250 0.2500  2 Ti 2.71, 2 Zn 2.81, 2 Pb 2.85

Results
Spin magnetization (μB/f.u.): 0.000
Crystal system: tetragonal
Total DFT energy (no corrections) (eV per atom): -3.28